SrAcCrO5: relaxed, GGA+U.

The value obtained for the total energy is -7.1397 eV per atom.

The space group is C2/c (No. 15) and the conventional cell measures 7.382, 10.009 and 8.256 Å, with angles of 90.00, 108.02 and 90.00 degrees. Symmetry generates all atoms from Sr at (0.000, 0.157, 0.250), Ac at (0.000, 0.500, 0.000), Cr at (0.000, 0.180, 0.750), O at (0.000, 0.389, 0.250), O at (0.132, 0.286, 0.663) and O at (0.138, 0.072, 0.903).

=====

Sr2AcCrO5: relaxed, GGA+U.

The value obtained for the total energy is -6.9674 eV per atom.

The space group is I4/mcm (No. 140) and the conventional cell measures 6.805, 6.805 and 11.892 Å, with angles of 90.00, 90.00 and 90.00 degrees. Symmetry generates all atoms from Sr at (0.172, 0.328, 0.000), Ac at (0.000, 0.000, 0.250), Cr at (0.000, 0.500, 0.250), O at (0.000, 0.000, 0.000) and O at (0.148, 0.352, 0.354).

=====

SrAc2CrO8: relaxed, GGA+U.

The value obtained for the total energy is -6.7197 eV per atom. The density of states at the Fermi level comes out at 0.30 states/eV/atom.

The space group is P-3m1 (No. 164) and the conventional cell measures 5.4977, 5.4977 and 6.9108 Å, with angles of 90.00, 90.00 and 120.00 degrees. Symmetry generates all atoms from Sr at (0.0000, 0.0000, 0.0000), Ac at (0.3333, 0.6667, 0.3542), Cr at (0.0000, 0.0000, 0.5000), O at (0.1576, 0.3151, 0.6542) and O at (0.3333, 0.6667, 0.0360).

=====

SrAcCrO4: relaxed, GGA+U.

The value obtained for the total energy is -7.4851 eV per atom. The density of states at the Fermi level comes out at 0.00 states/eV/atom.

The space group is I4mm (No. 107) and the conventional cell measures 3.965, 3.965 and 12.770 Å, with angles of 90.00, 90.00 and 90.00 degrees. Symmetry generates all atoms from Sr at (0.000, 0.000, 0.000), Ac at (0.000, 0.000, 0.282), Cr at (0.000, 0.000, 0.635), O at (0.000, 0.000, 0.475), O at (0.000, 0.000, 0.804) and O at (0.000, 0.500, 0.144).